{
  "formula": "LiGaH2Pd5",
  "functional": "PBE-GGA",
  "state": "optimized geometry",
  "cell": [[3.962, 0.000, 0.000], [0.000, 3.962, 0.000], [0.000, 0.000, 7.561]],
  "species": ["Li", "Ga", "H", "H", "Pd", "Pd", "Pd", "Pd", "Pd"],
  "frac_coords": [[0.000, 0.000, 0.000], [0.500, 0.500, 0.500], [0.000, 0.000, 0.244], [0.000, 0.000, 0.756], [0.000, 0.000, 0.500], [0.000, 0.500, 0.241], [0.000, 0.500, 0.759], [0.500, 0.000, 0.241], [0.500, 0.000, 0.759]],
  "final_energy_ev_per_atom": -4.43,
  "total_magnetization_mub_per_fu": 0.00,
  "space_group": "P4/mmm, No. 123"
}